Entry 1:
Entry from the Alexandria database: InPb2O3 after structural relaxation (PBE).

```
InPb2O3
1.0
7.371 -2.261 0.000
7.371 2.261 0.000
-0.723 0.000 3.257
In Pb O
1 2 3
direct
0.000 0.000 0.000
0.347 0.347 0.350
0.653 0.653 0.650
0.099 0.099 0.595
0.500 0.500 0.000
0.901 0.901 0.405
```

The space group is C2/m (12). As for the formation energy from raw total energies: -1.063 eV/atom.


Entry 2:
Entry from the Alexandria database: HoH3Pt3 after structural relaxation (PBE).

```
HoH3Pt3
1.0
6.318 0.000 0.000
-3.159 5.471 0.000
0.000 0.000 4.709
Ho H Pt
2 6 6
direct
0.333 0.667 0.250
0.667 0.333 0.750
0.107 0.553 0.750
0.447 0.553 0.750
0.447 0.893 0.750
0.553 0.107 0.250
0.553 0.447 0.250
0.893 0.447 0.250
0.146 0.293 0.750
0.146 0.854 0.750
0.293 0.146 0.250
0.707 0.854 0.750
0.854 0.146 0.250
0.854 0.707 0.250
```

The space group is P6_3/mmc (194). For the uncorrected energy, the calculation gives -73.53 eV for the cell shown.


Entry 3:
Entry from the Alexandria database: BaZnW after structural relaxation (PBE).

```
BaZnW
1.0
0.000 3.776 3.776
3.776 0.000 3.776
3.776 3.776 0.000
Ba Zn W
1 1 1
direct
0.000 0.000 0.000
0.250 0.250 0.250
0.750 0.750 0.750
```

The space group is F-43m (216). The formation energy is 1.9911 eV/atom. The calculation puts the offset from the most stable computed form at 1113.9 meV/atom.


Entry 4:
Entry from the Alexandria database: CrInFe2Ge after structural relaxation (PBE).

```
CrInFe2Ge
1.0
4.304 0.000 0.000
0.000 4.304 0.000
0.000 0.000 5.040
Cr In Fe Ge
1 1 2 1
direct
0.000 0.000 0.000
0.000 0.000 0.500
0.000 0.500 0.000
0.500 0.000 0.000
0.500 0.500 0.500
```

The space group is P4/mmm (123). The formation energy is 1.1291 eV/atom.


Entry 5:
Entry from the Alexandria database: AgTeOsI2 after structural relaxation (PBE).

```
AgTeOsI2
1.0
5.694 0.000 0.000
0.000 5.694 0.000
0.000 0.000 4.944
Ag Te Os I
1 1 1 2
direct
0.000 0.000 0.000
0.500 0.500 0.000
0.500 0.500 0.500
0.000 0.500 0.500
0.500 0.000 0.500
```

The space group is P4/mmm (123). The calculation puts the offset from the most stable computed form at 0.0 meV/atom. As for the formation energy from raw total energies: 0.714 eV/atom.


Entry 6:
Entry from the Alexandria database: Y6Au3O after structural relaxation (PBE).

```
Y6Au3O
1.0
6.576 0.000 0.000
0.000 7.469 0.000
-6.229 0.000 10.056
Y Au O
12 6 2
direct
0.079 0.040 0.233
0.079 0.460 0.733
0.205 0.703 0.067
0.205 0.797 0.567
0.371 0.160 0.058
0.371 0.340 0.558
0.629 0.660 0.442
0.629 0.840 0.942
0.795 0.203 0.433
0.795 0.297 0.933
0.921 0.540 0.267
0.921 0.960 0.767
0.310 0.113 0.743
0.310 0.387 0.243
0.500 0.000 0.500
0.500 0.500 0.000
0.690 0.613 0.757
0.690 0.887 0.257
0.000 0.000 0.000
0.000 0.500 0.500
```

The space group is P2_1/c (14). As for the formation energy from raw total energies: -1.033 eV/atom.


Entry 7:
Entry from the Alexandria database: Tb2Y7Sc2 after structural relaxation (PBE).

```
Tb2Y7Sc2
1.0
3.591 0.000 0.000
0.003 8.905 0.000
1.791 3.814 10.715
Tb Y Sc
2 7 2
direct
0.140 0.266 0.219
0.860 0.734 0.781
0.300 0.361 0.902
0.312 0.988 0.877
0.451 0.590 0.598
0.500 0.000 0.500
0.549 0.410 0.402
0.688 0.012 0.123
0.700 0.639 0.098
0.080 0.748 0.340
0.920 0.252 0.660
```

The space group is P-1 (2). The formation energy is 0.0827 eV/atom. The calculation puts the offset from the most stable computed form at 0.0 meV/atom.


Entry 8:
Entry from the Alexandria database: AcPrSm2Y2 after structural relaxation (PBE).

```
AcPrSm2Y2
1.0
6.619 0.000 0.000
0.000 18.741 0.000
0.000 0.000 3.529
Ac Pr Sm Y
2 2 4 4
direct
0.000 0.000 0.000
0.500 0.500 0.500
0.000 0.500 0.000
0.500 0.000 0.500
0.195 0.193 0.000
0.305 0.693 0.500
0.695 0.307 0.500
0.805 0.807 0.000
0.193 0.351 0.500
0.307 0.851 0.000
0.693 0.149 0.000
0.807 0.649 0.500
```

The space group is Pnnm (58). The formation energy is 0.2974 eV/atom.


Entry 9:
Entry from the Alexandria database: Sm4BSeCl2 after structural relaxation (PBE).

```
Sm4BSeCl2
1.0
7.119 0.000 0.000
0.000 3.993 0.000
-2.340 0.000 6.845
Sm B Se Cl
4 1 1 2
direct
0.208 0.000 0.208
0.220 0.500 0.778
0.780 0.500 0.222
0.792 0.000 0.792
0.000 0.500 0.000
0.000 0.000 0.500
0.500 0.000 0.000
0.500 0.500 0.500
```

The space group is P2/m (10). As for the formation energy from raw total energies: -1.299 eV/atom.